Fe2Pd5Rh: optimized geometry, PBE.

a = 5.5065 Å, b = 11.0121 Å, c = 3.8522 Å
α = 90.00°, β = 90.00°, γ = 90.00°
With the nearest neighbours (Å) after each atom.
Fractional coordinates of all 16 atoms:
1 Fe 0.2424 0.1226 0.0000  2 Rh 2.70, 10 Pd 2.71-2.79
2 Fe 0.2576 0.6226 0.0000  2 Rh 2.70, 10 Pd 2.71-2.79
3 Fe 0.7424 0.3774 0.0000  2 Rh 2.70, 10 Pd 2.71-2.79
4 Fe 0.7576 0.8774 0.0000  2 Rh 2.70, 10 Pd 2.71-2.79
5 Pd 0.0000 0.5000 0.5000  6 Pd 2.73-2.76, 4 Fe 2.75, 2 Rh 2.75
6 Pd 0.0035 0.7506 0.5000  7 Pd 2.73-2.76, 4 Fe 2.74-2.77, 1 Rh 2.75
7 Pd 0.2495 0.3762 0.0000  4 Fe 2.71-2.79, 6 Pd 2.73-2.76, 2 Rh 2.73
8 Pd 0.2505 0.8762 0.0000  4 Fe 2.71-2.79, 6 Pd 2.73-2.76, 2 Rh 2.73
9 Pd 0.4965 0.2506 0.5000  7 Pd 2.73-2.76, 4 Fe 2.74-2.77, 1 Rh 2.75
10 Pd 0.5000 0.0000 0.5000  6 Pd 2.73-2.76, 4 Fe 2.75, 2 Rh 2.75
11 Pd 0.5035 0.7494 0.5000  7 Pd 2.73-2.76, 4 Fe 2.74-2.77, 1 Rh 2.75
12 Pd 0.7495 0.1238 0.0000  4 Fe 2.71-2.79, 6 Pd 2.73-2.76, 2 Rh 2.73
13 Pd 0.7505 0.6238 0.0000  4 Fe 2.71-2.79, 6 Pd 2.73-2.76, 2 Rh 2.73
14 Pd 0.9965 0.2494 0.5000  7 Pd 2.73-2.76, 4 Fe 2.74-2.77, 1 Rh 2.75
15 Rh 0.0000 0.0000 0.5000  4 Fe 2.70, 8 Pd 2.73-2.75
16 Rh 0.5000 0.5000 0.5000  4 Fe 2.70, 8 Pd 2.73-2.75

Calculated values
* SG: Pbam

Pm3Nd3Cd: optimized geometry, PBE.

a = 9.6179 Å, b = 9.6179 Å, c = 5.7144 Å
α = 90.00°, β = 90.00°, γ = 120.00°
With the nearest neighbours (Å) after each atom.
Fractional coordinates of all 14 atoms:
1 Pm 0.0622 0.2442 0.2500  5 Nd 3.53-3.77, 6 Pm 3.55-3.66, 1 Cd 3.57
2 Pm 0.1819 0.9378 0.2500  5 Nd 3.53-3.77, 6 Pm 3.55-3.66, 1 Cd 3.57
3 Pm 0.2442 0.1819 0.7500  5 Nd 3.53-3.77, 6 Pm 3.55-3.66, 1 Cd 3.57
4 Pm 0.7558 0.8181 0.2500  5 Nd 3.53-3.77, 6 Pm 3.55-3.66, 1 Cd 3.57
5 Pm 0.8181 0.0622 0.7500  5 Nd 3.53-3.77, 6 Pm 3.55-3.66, 1 Cd 3.57
6 Pm 0.9378 0.7558 0.7500  5 Nd 3.53-3.77, 6 Pm 3.55-3.66, 1 Cd 3.57
7 Nd 0.1080 0.4782 0.7500  4 Nd 3.49-3.68, 3 Cd 3.50-3.75, 5 Pm 3.53-3.77
8 Nd 0.3702 0.8920 0.7500  4 Nd 3.49-3.68, 3 Cd 3.50-3.75, 5 Pm 3.53-3.77
9 Nd 0.4782 0.3702 0.2500  4 Nd 3.49-3.68, 3 Cd 3.50-3.75, 5 Pm 3.53-3.77
10 Nd 0.5218 0.6298 0.7500  4 Nd 3.49-3.68, 3 Cd 3.50-3.75, 5 Pm 3.53-3.77
11 Nd 0.6298 0.1080 0.2500  4 Nd 3.49-3.68, 3 Cd 3.50-3.75, 5 Pm 3.53-3.77
12 Nd 0.8920 0.5218 0.2500  4 Nd 3.49-3.68, 3 Cd 3.50-3.75, 5 Pm 3.53-3.77
13 Cd 0.3333 0.6667 0.2500  9 Nd 3.50-3.75, 3 Pm 3.57
14 Cd 0.6667 0.3333 0.7500  9 Nd 3.50-3.75, 3 Pm 3.57

Calculated values
* SG: P6_3/m

Pm12Tm6Pu: optimized geometry, PBE.

a = 9.4877 Å, b = 9.4877 Å, c = 9.4877 Å
α = 110.92°, β = 110.92°, γ = 110.92°
With the nearest neighbours (Å) after each atom.
Fractional coordinates of all 19 atoms:
1 Pm 0.0576 0.3726 0.5812  4 Tm 3.56-3.64, 8 Pm 3.57-3.63
2 Pm 0.1039 0.7398 0.1557  8 Pm 3.54-3.63, 1 Pu 3.54, 3 Tm 3.58-3.68
3 Pm 0.1557 0.1039 0.7398  1 Pu 3.54, 8 Pm 3.54-3.63, 3 Tm 3.58-3.68
4 Pm 0.2602 0.8443 0.8961  1 Pu 3.54, 8 Pm 3.54-3.63, 3 Tm 3.58-3.68
5 Pm 0.3726 0.5812 0.0576  4 Tm 3.56-3.64, 8 Pm 3.57-3.63
6 Pm 0.4188 0.9424 0.6274  4 Tm 3.56-3.64, 8 Pm 3.57-3.63
7 Pm 0.5812 0.0576 0.3726  4 Tm 3.56-3.64, 8 Pm 3.57-3.63
8 Pm 0.6274 0.4188 0.9424  4 Tm 3.56-3.64, 8 Pm 3.57-3.63
9 Pm 0.7398 0.1557 0.1039  8 Pm 3.54-3.63, 1 Pu 3.54, 3 Tm 3.58-3.68
10 Pm 0.8443 0.8961 0.2602  8 Pm 3.54-3.63, 1 Pu 3.54, 3 Tm 3.58-3.68
11 Pm 0.8961 0.2602 0.8443  8 Pm 3.54-3.63, 1 Pu 3.54, 3 Tm 3.58-3.68
12 Pm 0.9424 0.6274 0.4188  4 Tm 3.56-3.64, 8 Pm 3.57-3.63
13 Tm 0.2129 0.4694 0.3159  4 Tm 3.49-3.57, 1 Pu 3.55, 7 Pm 3.56-3.68
14 Tm 0.3159 0.2129 0.4694  4 Tm 3.49-3.57, 1 Pu 3.55, 7 Pm 3.56-3.68
15 Tm 0.4694 0.3159 0.2129  4 Tm 3.49-3.57, 1 Pu 3.55, 7 Pm 3.56-3.68
16 Tm 0.5306 0.6841 0.7871  4 Tm 3.49-3.57, 1 Pu 3.55, 7 Pm 3.56-3.68
17 Tm 0.6841 0.7871 0.5306  4 Tm 3.49-3.57, 1 Pu 3.55, 7 Pm 3.56-3.68
18 Tm 0.7871 0.5306 0.6841  4 Tm 3.49-3.57, 1 Pu 3.55, 7 Pm 3.56-3.68
19 Pu 0.0000 0.0000 0.0000  6 Pm 3.54, 6 Tm 3.55

Calculated values
* SG: R-3

LaSmErCo: optimized geometry, PBE.

a = 3.5222 Å, b = 7.2193 Å, c = 7.2193 Å
α = 37.60°, β = 90.00°, γ = 90.00°
With the nearest neighbours (Å) after each atom.
Fractional coordinates of all 4 atoms:
1 La 0.0000 0.0000 0.0000  1 Co 2.42
2 Sm 0.5000 0.6621 0.6621  2 Co 2.82
3 Er 0.5000 0.3395 0.3395  4 Co 2.93
4 Co 0.0000 0.8229 0.8229  1 La 2.42

Calculated values
* SG: Amm2

Nd6Y3Er: optimized geometry, PBE.

a = 11.2465 Å, b = 11.2465 Å, c = 6.2918 Å
α = 90.00°, β = 90.00°, γ = 120.44°
With the nearest neighbours (Å) after each atom.
Fractional coordinates of all 20 atoms:
1 Nd 0.0410 0.9590 0.5000  1 Er 3.36, 2 Nd 3.53, 4 Y 3.54-3.67
2 Nd 0.0555 0.4770 0.0567  5 Nd 3.17-3.53, 1 Y 3.33, 2 Er 3.39-3.49
3 Nd 0.2790 0.7210 0.7738  4 Nd 3.17-3.53, 1 Er 3.36, 1 Y 3.42
4 Nd 0.2892 0.3760 0.8785  4 Y 3.53-3.74, 5 Nd 3.53-3.79
5 Nd 0.3760 0.2892 0.3785  4 Y 3.53-3.74, 5 Nd 3.53-3.79
6 Nd 0.4770 0.0555 0.5567  5 Nd 3.17-3.53, 1 Y 3.33, 2 Er 3.39-3.49
7 Nd 0.5230 0.9445 0.0567  5 Nd 3.17-3.53, 1 Y 3.33, 2 Er 3.39-3.49
8 Nd 0.6240 0.7108 0.8785  4 Y 3.53-3.74, 5 Nd 3.53-3.79
9 Nd 0.7108 0.6240 0.3785  4 Y 3.53-3.74, 5 Nd 3.53-3.79
10 Nd 0.7210 0.2790 0.2738  4 Nd 3.17-3.53, 1 Er 3.36, 1 Y 3.42
11 Nd 0.9445 0.5230 0.5567  5 Nd 3.17-3.53, 1 Y 3.33, 2 Er 3.39-3.49
12 Nd 0.9590 0.0410 0.0000  1 Er 3.36, 2 Nd 3.53, 4 Y 3.54-3.67
13 Y 0.0551 0.2794 0.4513  6 Nd 3.33-3.67, 1 Er 3.36
14 Y 0.2794 0.0551 0.9513  6 Nd 3.33-3.67, 1 Er 3.36
15 Y 0.3861 0.6139 0.3446  7 Nd 3.42-3.74, 1 Er 3.64, 2 Y 3.78
16 Y 0.6139 0.3861 0.8446  7 Nd 3.42-3.74, 1 Er 3.64, 2 Y 3.78
17 Y 0.7206 0.9449 0.4513  6 Nd 3.33-3.67, 1 Er 3.36
18 Y 0.9449 0.7206 0.9513  6 Nd 3.33-3.67, 1 Er 3.36
19 Er 0.2003 0.7997 0.2995  3 Y 3.36-3.64, 7 Nd 3.36-3.65
20 Er 0.7997 0.2003 0.7995  3 Y 3.36-3.64, 7 Nd 3.36-3.65

Calculated values
* SG: Cmc2_1

ZrRe2Ag: optimized geometry, PBE.

a = 10.1535 Å, b = 10.1535 Å, c = 10.1535 Å
α = 15.91°, β = 15.91°, γ = 15.91°
With the nearest neighbours (Å) after each atom.
Fractional coordinates of all 4 atoms:
1 Zr 0.0000 0.0000 0.0000  6 Zr 2.81, 6 Re 3.04
2 Re 0.2479 0.2479 0.2479  6 Re 2.81, 3 Ag 2.93, 3 Zr 3.04
3 Re 0.7521 0.7521 0.7521  6 Re 2.81, 3 Ag 2.93, 3 Zr 3.04
4 Ag 0.5000 0.5000 0.5000  6 Ag 2.81, 6 Re 2.93

Calculated values
* SG: R-3m

CaTb2UP4: optimized geometry, PBE.

a = 6.9592 Å, b = 6.9592 Å, c = 6.9592 Å
α = 131.81°, β = 131.81°, γ = 70.53°
With the nearest neighbours (Å) after each atom.
Fractional coordinates of all 8 atoms:
1 Ca 0.0000 0.0000 0.0000  6 P 2.84-2.88
2 Tb 0.5000 0.5000 0.0000  6 P 2.80-2.84
3 Tb 0.7500 0.2500 0.5000  6 P 2.84-2.96
4 U 0.2500 0.7500 0.5000  6 P 2.72-2.84
5 P 0.0106 0.5106 0.5000  1 U 2.72, 3 Tb 2.84-2.96, 2 Ca 2.84
6 P 0.2538 0.2538 0.0000  3 Tb 2.80-2.84, 2 U 2.84, 1 Ca 2.88
7 P 0.4894 0.9894 0.5000  1 U 2.72, 3 Tb 2.84-2.96, 2 Ca 2.84
8 P 0.7462 0.7462 0.0000  3 Tb 2.80-2.84, 2 U 2.84, 1 Ca 2.88

Calculated values
* SG: I-4m2

AcTl3Hg8: optimized geometry, PBE.

a = 6.1583 Å, b = 6.1583 Å, c = 10.2671 Å
α = 90.00°, β = 90.00°, γ = 120.00°
With the nearest neighbours (Å) after each atom.
Fractional coordinates of all 12 atoms:
1 Ac 0.0000 0.0000 0.0000  12 Hg 3.61-3.65, 4 Tl 3.80-3.87
2 Tl 0.0000 0.0000 0.3767  12 Hg 3.61-3.66, 3 Tl 3.76, 1 Ac 3.87
3 Tl 0.6667 0.3333 0.4968  12 Hg 3.61-3.65, 4 Tl 3.76-3.82
4 Tl 0.6667 0.3333 0.8687  12 Hg 3.60-3.67, 3 Ac 3.80, 1 Tl 3.82
5 Hg 0.1629 0.3257 0.6875  6 Hg 3.01-3.16
6 Hg 0.1629 0.8371 0.6875  6 Hg 3.01-3.16
7 Hg 0.3333 0.6667 0.4355  6 Hg 3.16
8 Hg 0.3333 0.6667 0.9343  6 Hg 3.12-3.14
9 Hg 0.5040 0.0081 0.1840  6 Hg 3.00-3.16
10 Hg 0.5040 0.4960 0.1840  6 Hg 3.00-3.16
11 Hg 0.6743 0.8371 0.6875  6 Hg 3.01-3.16
12 Hg 0.9919 0.4960 0.1840  6 Hg 3.00-3.16

Calculated values
* SG: P3m1

Computed magnetic moment, in the same sequence as the records: 17.9; 0.0; 6.8; 0.0; 0.0; 0.0; 1.8; 0.0 Bohr magnetons per cell.
Computed E, in the same sequence as the records: -6.349; -4.244; -5.131; -5.328; -5.122; -8.576; -6.837; -1.243 eV per atom.
Computed ΔE_f, in the same sequence as the records: -0.0692; -0.0337; 0.0361; 0.0005; 0.1341; 0.4979; -1.3131; -0.1077 eV per atom.